{
  "formula": "Nb2HgMoH",
  "functional": "PBE-GGA",
  "state": "relaxed",
  "cell": [[4.216, 0.000, 0.000], [0.000, 4.216, 0.000], [0.000, 0.000, 4.125]],
  "species": ["H", "Hg", "Nb", "Nb", "Mo"],
  "frac_coords": [[0.000, 0.000, 0.000], [0.500, 0.500, 0.500], [0.000, 0.500, 0.000], [0.500, 0.000, 0.000], [0.000, 0.000, 0.500]],
  "space_group": "P4/mmm, No. 123",
  "rho_g_cm3": 10.95,
  "crystal_system": "tetragonal",
  "dft_energy_ev_per_atom": -6.85
}

{
  "formula": "HgMoH2Pd",
  "functional": "PBE-GGA",
  "state": "relaxed",
  "cell": [[-2.771, -1.021, 2.368], [3.615, -1.518, 3.576], [-0.011, 3.480, 1.489]],
  "species": ["Pd", "Hg", "H", "H", "Mo"],
  "frac_coords": [[0.000, 0.000, 0.000], [0.000, 0.500, 0.000], [0.500, 0.000, 0.000], [0.000, 0.000, 0.500], [0.500, 0.500, 0.500]],
  "space_group": "P4/mmm, No. 123",
  "rho_g_cm3": 8.84,
  "crystal_system": "tetragonal",
  "dft_energy_ev_per_atom": -3.68
}